# 1
{
  "formula": "AlCuPCl2",
  "functional": "PBE",
  "state": "relaxed",
  "spacegroup": "P4/mmm (123)",
  "dft_energy_ev_per_atom": -3.313,
  "de_polymorph_ev_per_atom": 0.000,
  "vol_a3_per_atom": 20.93,
  "lattice_angstrom": [[-2.109, 1.657, -3.636], [-3.967, -0.381, 2.128], [0.538, 4.750, 1.853]],
  "species": ["Cu", "P", "Cl", "Cl", "Al"],
  "fractional_positions": [[0.500, 0.500, 0.500], [0.000, 0.000, 0.500], [0.500, 0.000, 0.000], [0.000, 0.500, 0.000], [0.000, 0.000, 0.000]]
}

=====

# 2
{
  "formula": "Nd2VGe3Pt4",
  "functional": "PBE",
  "state": "relaxed",
  "formation_enthalpy_0k_mev_per_atom": -857,
  "spacegroup": "P-4m2 (115)",
  "dft_energy_ev_per_atom": -6.524,
  "vol_a3_per_atom": 19.12,
  "lattice_angstrom": [[-0.976, -3.886, -1.517], [-0.836, -1.344, 3.981], [-9.940, 2.926, -1.100]],
  "species": ["V", "Ge", "Ge", "Ge", "Nd", "Nd", "Pt", "Pt", "Pt", "Pt"],
  "fractional_positions": [[0.500, 0.500, 0.500], [0.000, 0.000, 0.500], [0.000, 0.500, 0.136], [0.500, 0.000, 0.864], [0.000, 0.500, 0.750], [0.500, 0.000, 0.250], [0.000, 0.500, 0.372], [0.500, 0.500, 0.000], [0.000, 0.000, 0.000], [0.500, 0.000, 0.628]]
}

=====

# 3
{
  "formula": "Tl2Cr2PdSe6",
  "functional": "PBE",
  "state": "relaxed",
  "spacegroup": "C2/m (12)",
  "dft_energy_ev_per_atom": -4.973,
  "vol_a3_per_atom": 25.13,
  "lattice_angstrom": [[-1.572, -4.225, 4.704], [5.413, 3.594, 0.486], [-5.244, 5.616, 1.725]],
  "species": ["Tl", "Tl", "Se", "Se", "Se", "Se", "Se", "Se", "Pd", "Cr", "Cr"],
  "fractional_positions": [[0.169, 0.831, 0.000], [0.831, 0.169, 0.000], [0.602, 0.936, 0.320], [0.398, 0.064, 0.680], [0.727, 0.727, 0.678], [0.936, 0.602, 0.320], [0.273, 0.273, 0.322], [0.064, 0.398, 0.680], [0.000, 0.000, 0.500], [0.670, 0.330, 0.500], [0.330, 0.670, 0.500]]
}

=====

# 4
{
  "formula": "Bi3ClO4",
  "functional": "PBE",
  "state": "relaxed",
  "spacegroup": "P4/mmm (123)",
  "dft_energy_ev_per_atom": -5.419,
  "vol_a3_per_atom": 18.06,
  "lattice_angstrom": [[3.961, 0.000, -0.009], [0.000, 3.961, -0.009], [0.026, 0.026, 9.207]],
  "species": ["O", "O", "O", "O", "Bi", "Bi", "Bi", "Cl"],
  "fractional_positions": [[0.490, 0.490, 0.837], [0.990, 0.990, 0.837], [0.989, 0.989, 0.163], [0.489, 0.489, 0.163], [0.489, 0.989, 0.000], [0.990, 0.490, 0.718], [0.989, 0.489, 0.282], [0.490, 0.990, 0.500]]
}

=====

# 5
{
  "formula": "ZnCdRu2",
  "functional": "PBE",
  "state": "relaxed",
  "formation_enthalpy_0k_mev_per_atom": 569,
  "spacegroup": "I-42d (122)",
  "dft_energy_ev_per_atom": -4.616,
  "vol_a3_per_atom": 17.97,
  "lattice_angstrom": [[-3.504, 0.708, 1.584], [-1.733, -1.616, -3.110], [-2.397, -8.845, 3.475]],
  "species": ["Zn", "Zn", "Ru", "Ru", "Ru", "Ru", "Cd", "Cd"],
  "fractional_positions": [[0.500, 0.500, 0.000], [0.250, 0.750, 0.500], [0.375, 0.461, 0.750], [0.539, 0.125, 0.250], [0.875, 0.789, 0.750], [0.211, 0.625, 0.250], [0.000, 0.000, 0.000], [0.750, 0.250, 0.500]]
}

=====

# 6
{
  "formula": "TbTm2Mg4",
  "functional": "PBE",
  "state": "relaxed",
  "formation_enthalpy_0k_mev_per_atom": 400,
  "spacegroup": "Cmmm (65)",
  "dft_energy_ev_per_atom": -2.450,
  "de_polymorph_ev_per_atom": 0.302,
  "vol_a3_per_atom": 29.62,
  "lattice_angstrom": [[5.425, 0.000, 0.000], [0.000, 5.936, 0.000], [0.000, -2.968, 6.437]],
  "species": ["Mg", "Mg", "Mg", "Mg", "Tm", "Tm", "Tb"],
  "fractional_positions": [[0.000, 0.253, 0.506], [0.500, 0.379, 0.757], [0.500, 0.621, 0.243], [0.000, 0.747, 0.494], [0.500, 0.130, 0.260], [0.500, 0.870, 0.740], [0.000, 0.500, 0.000]]
}

=====

# 7
{
  "formula": "ZrCo2CuH",
  "functional": "PBE",
  "state": "relaxed",
  "spacegroup": "P4/mmm (123)",
  "dft_energy_ev_per_atom": -6.137,
  "de_polymorph_ev_per_atom": 0.028,
  "vol_a3_per_atom": 11.26,
  "lattice_angstrom": [[3.788, 0.000, 0.000], [0.000, 3.788, 0.000], [0.000, 0.000, 3.925]],
  "species": ["Cu", "Co", "Co", "H", "Zr"],
  "fractional_positions": [[0.500, 0.500, 0.500], [0.500, 0.000, 0.000], [0.000, 0.500, 0.000], [0.000, 0.000, 0.000], [0.000, 0.000, 0.500]]
}

=====

# 8
{
  "formula": "Mn2InTe",
  "functional": "PBE",
  "state": "relaxed",
  "spacegroup": "F-43m (216)",
  "dft_energy_ev_per_atom": -5.436,
  "de_polymorph_ev_per_atom": 0.437,
  "vol_a3_per_atom": 20.52,
  "lattice_angstrom": [[4.878, 0.000, 0.000], [2.439, 4.225, 0.000], [2.439, 1.408, 3.983]],
  "species": ["In", "Mn", "Mn", "Te"],
  "fractional_positions": [[0.500, 0.500, 0.500], [0.000, 0.000, 0.000], [0.250, 0.250, 0.250], [0.750, 0.750, 0.750]]
}

=====

# 9
{
  "formula": "BaMoPb",
  "functional": "PBE",
  "state": "relaxed",
  "formation_enthalpy_0k_mev_per_atom": 600,
  "spacegroup": "I4mm (107)",
  "dft_energy_ev_per_atom": -4.887,
  "de_polymorph_ev_per_atom": 0.000,
  "vol_a3_per_atom": 29.64,
  "lattice_angstrom": [[6.697, -0.350, 0.292], [5.789, 3.315, 0.738], [0.907, -0.225, 3.686]],
  "species": ["Ba", "Mo", "Pb"],
  "fractional_positions": [[0.997, 0.997, 0.003], [0.286, 0.286, 0.714], [0.717, 0.717, 0.283]]
}

=====

# 10
{
  "formula": "TbCeHfTh",
  "functional": "PBE",
  "state": "relaxed",
  "formation_enthalpy_0k_mev_per_atom": 244,
  "spacegroup": "F-43m (216)",
  "dft_energy_ev_per_atom": -6.740,
  "vol_a3_per_atom": 28.57,
  "lattice_angstrom": [[5.447, 0.000, 0.000], [2.724, 4.717, 0.000], [2.724, 1.572, 4.448]],
  "species": ["Th", "Tb", "Hf", "Ce"],
  "fractional_positions": [[0.000, 0.000, 0.000], [0.750, 0.750, 0.750], [0.250, 0.250, 0.250], [0.500, 0.500, 0.500]]
}

=====

# 11
{
  "formula": "MgZn4Pt5",
  "functional": "PBE",
  "state": "relaxed",
  "formation_enthalpy_0k_mev_per_atom": -629,
  "spacegroup": "P4/mmm (123)",
  "dft_energy_ev_per_atom": -4.318,
  "vol_a3_per_atom": 14.86,
  "lattice_angstrom": [[2.888, 0.000, 0.000], [0.000, 2.888, 0.000], [0.000, 0.000, 17.815]],
  "species": ["Zn", "Zn", "Zn", "Zn", "Mg", "Pt", "Pt", "Pt", "Pt", "Pt"],
  "fractional_positions": [[0.000, 0.000, 0.401], [0.000, 0.000, 0.796], [0.000, 0.000, 0.599], [0.000, 0.000, 0.204], [0.000, 0.000, 0.000], [0.500, 0.500, 0.303], [0.500, 0.500, 0.500], [0.500, 0.500, 0.106], [0.500, 0.500, 0.894], [0.500, 0.500, 0.697]]
}

=====

# 12
{
  "formula": "Cr2NiIr",
  "functional": "PBE",
  "state": "relaxed",
  "formation_enthalpy_0k_mev_per_atom": 169,
  "spacegroup": "Cmm2 (35)",
  "dft_energy_ev_per_atom": -8.303,
  "vol_a3_per_atom": 12.49,
  "lattice_angstrom": [[-2.570, -0.184, 0.173], [1.141, -0.601, 2.238], [-0.398, 7.709, 2.272]],
  "species": ["Cr", "Cr", "Ni", "Ir"],
  "fractional_positions": [[0.000, 0.000, 0.004], [0.500, 0.500, 0.233], [0.500, 0.500, 0.766], [0.000, 0.000, 0.497]]
}